1.
A plane-wave DFT calculation with PBE was carried out for crystalline Sc6As2C at its relaxed geometry.

```
Sc6As2C
1.0
5.933 0.000 0.000
0.000 5.933 0.000
0.000 0.000 11.343
Sc As C
12 4 2
direct
0.310 0.310 0.358
0.690 0.690 0.358
0.190 0.810 0.858
0.810 0.190 0.858
0.190 0.810 0.142
0.810 0.190 0.142
0.310 0.310 0.642
0.690 0.690 0.642
0.276 0.276 0.000
0.724 0.724 0.000
0.224 0.776 0.500
0.776 0.224 0.500
0.000 0.000 0.329
0.500 0.500 0.829
0.500 0.500 0.171
0.000 0.000 0.671
0.000 0.000 0.000
0.500 0.500 0.500
```

Values from the calculation:
DFT formation energy ... -640 meV per atom
Space group ... P4_2/mnm (136)

2.
A plane-wave DFT calculation with PBE was carried out for crystalline Ca5Pa3N8 at its relaxed geometry.

```
Ca5Pa3N8
1.0
-6.035 -2.399 -2.874
-0.052 -6.171 -3.515
-3.241 -5.602 2.708
Ca Pa N
5 3 8
direct
0.500 0.000 0.000
0.500 0.500 0.000
0.000 0.000 0.000
0.000 0.500 0.000
0.500 0.500 0.500
0.500 0.000 0.500
0.000 0.000 0.500
0.000 0.500 0.500
0.250 0.250 0.715
0.250 0.785 0.715
0.785 0.250 0.715
0.760 0.760 0.719
0.750 0.750 0.285
0.750 0.215 0.285
0.215 0.750 0.285
0.240 0.240 0.281
```

Values from the calculation:
Formation energy (no corrections) ... -1.43 eV per atom
Space group ... R-3m (166)